# 1
Here is a relaxed structure of TeMoRu2 from the Alexandria database. Energies are from GGA-PBE.

Unit cell a=4.0390 b=4.0390 c=7.7920 alpha=90.00 beta=90.00 gamma=90.00
Element x y z (fractional)
Te (0.0000, 0.0000, 0.0000)
Te (0.5000, 0.5000, 0.5000)
Mo (0.0000, 0.0000, 0.5000)
Mo (0.5000, 0.5000, 0.0000)
Ru (0.0000, 0.5000, 0.2500)
Ru (0.0000, 0.5000, 0.7500)
Ru (0.5000, 0.0000, 0.2500)
Ru (0.5000, 0.0000, 0.7500)

Calculated values
As for the formation energy from raw total energies: 29.2 kJ/mol of atoms. The calculation puts the electronic total energy at -31.3 eV/f.u.

# 2
Here is a relaxed structure of TlTeMoRu2 from the Alexandria database. Energies are from GGA-PBE.

Unit cell a=4.8241 b=4.8241 c=4.9698 alpha=90.00 beta=90.00 gamma=90.00
Element x y z (fractional)
Tl (0.0000, 0.0000, 0.0000)
Te (0.5000, 0.5000, 0.5000)
Mo (0.5000, 0.5000, 0.0000)
Ru (0.0000, 0.5000, 0.5000)
Ru (0.5000, 0.0000, 0.5000)

Calculated values
As for the formation energy from raw total energies: 140.9 kJ/mol of atoms. The calculation puts the electronic total energy at -27.6 eV/f.u.

# 3
Here is a relaxed structure of Ti6MoRu from the Alexandria database. Energies are from GGA-PBE.

Unit cell a=4.4300 b=4.4300 c=13.2640 alpha=90.00 beta=90.00 gamma=90.00
Element x y z (fractional)
Ti (0.0000, 0.0000, 0.2474)
Ti (0.0000, 0.0000, 0.7526)
Ti (0.0000, 0.5000, 0.1125)
Ti (0.0000, 0.5000, 0.3875)
Ti (0.0000, 0.5000, 0.6125)
Ti (0.0000, 0.5000, 0.8875)
Ti (0.5000, 0.0000, 0.1125)
Ti (0.5000, 0.0000, 0.3875)
Ti (0.5000, 0.0000, 0.6125)
Ti (0.5000, 0.0000, 0.8875)
Ti (0.5000, 0.5000, 0.2526)
Ti (0.5000, 0.5000, 0.7474)
Mo (0.0000, 0.0000, 0.0000)
Mo (0.5000, 0.5000, 0.5000)
Ru (0.0000, 0.0000, 0.5000)
Ru (0.5000, 0.5000, 0.0000)

Calculated values
Its formation energy is -0.19 eV per atom. The calculation puts the electronic total energy at -69.0 eV/f.u.

# 4
Here is a relaxed structure of Ti2MoRu from the Alexandria database. Energies are from GGA-PBE.

Unit cell a=3.1048 b=3.1048 c=6.3243 alpha=90.00 beta=90.00 gamma=90.00
Element x y z (fractional)
Ti (0.0000, 0.0000, 0.2437)
Ti (0.0000, 0.0000, 0.7563)
Mo (0.5000, 0.5000, 0.5000)
Ru (0.5000, 0.5000, 0.0000)

Calculated values
Its formation energy is -0.42 eV per atom. The calculation puts the electronic total energy at -37.6 eV/f.u.

# 5
Here is a relaxed structure of TiMoRu2 from the Alexandria database. Energies are from GGA-PBE.

Unit cell a=2.9826 b=2.9826 c=6.6414 alpha=90.00 beta=90.00 gamma=90.00
Element x y z (fractional)
Ti (0.0000, 0.0000, 0.0000)
Mo (0.0000, 0.0000, 0.5000)
Ru (0.5000, 0.5000, 0.2325)
Ru (0.5000, 0.5000, 0.7675)

Calculated values
Its formation energy is -0.29 eV per atom. The calculation puts the electronic total energy at -38.4 eV/f.u.

# 6
Here is a relaxed structure of Ti2MoRu from the Alexandria database. Energies are from GGA-PBE.

Unit cell a=4.4219 b=4.4219 c=3.1058 alpha=90.00 beta=90.00 gamma=90.00
Element x y z (fractional)
Ti (0.0000, 0.5000, 0.0000)
Ti (0.5000, 0.0000, 0.0000)
Mo (0.0000, 0.0000, 0.5000)
Ru (0.5000, 0.5000, 0.5000)

Calculated values
Its formation energy is -0.42 eV per atom. The calculation puts the electronic total energy at -37.6 eV/f.u.